(1)
An optimized crystal structure of PmErSc2P4, computed with PBE.

Unit cell a=3.9139 b=6.7514 c=6.7739 alpha=70.44 beta=90.00 gamma=90.00
With the nearest neighbours (Å) after each atom.
Atoms (fractional coordinates):
1 Pm 0.5000 0.5000 0.0000  6 P 2.85
2 Er 0.0000 0.5000 0.5000  6 P 2.81
3 Sc 0.0000 0.0000 0.0000  6 P 2.72
4 Sc 0.5000 0.0000 0.5000  6 P 2.68
5 P 0.0000 0.7697 0.7386  3 Sc 2.68-2.72, 1 Er 2.81, 2 Pm 2.85
6 P 0.0000 0.2303 0.2614  3 Sc 2.68-2.72, 1 Er 2.81, 2 Pm 2.85
7 P 0.5000 0.7660 0.2493  3 Sc 2.68-2.72, 2 Er 2.81, 1 Pm 2.85
8 P 0.5000 0.2340 0.7507  3 Sc 2.68-2.72, 2 Er 2.81, 1 Pm 2.85

Values from the calculation:
Space-group type = P2/m
ΔE_f = -145.8 kJ/mol of atoms

(2)
An optimized crystal structure of NdHoSi2Pt2, computed with PBE.

Unit cell a=4.1650 b=4.1650 c=8.2729 alpha=90.00 beta=90.00 gamma=120.00
With the nearest neighbours (Å) after each atom.
Atoms (fractional coordinates):
1 Nd 0.0000 0.0000 0.0000  6 Si 3.21, 6 Pt 3.25
2 Ho 0.0000 0.0000 0.5000  6 Pt 3.10, 6 Si 3.14
3 Si 0.6667 0.3333 0.2563  3 Pt 2.41
4 Si 0.3333 0.6667 0.7437  3 Pt 2.41
5 Pt 0.6667 0.3333 0.7357  3 Si 2.41
6 Pt 0.3333 0.6667 0.2643  3 Si 2.41

Values from the calculation:
Space-group type = P-3m1
ΔE_f (raw) = -1.13 eV/atom

(3)
An optimized crystal structure of RbMgZn2F8, computed with PBE.

Unit cell a=5.4178 b=5.4178 c=7.9398 alpha=70.05 beta=70.05 gamma=60.00
With the nearest neighbours (Å) after each atom.
Atoms (fractional coordinates):
1 Rb 0.5000 0.5000 0.5000  12 F 3.14-3.16
2 Mg 0.0000 0.0000 0.0000  6 F 2.01
3 Zn 0.2646 0.2646 0.2063  4 F 1.91
4 Zn 0.7354 0.7354 0.7937  4 F 1.91
5 F 0.1775 0.1775 0.4674  1 Zn 1.91
6 F 0.6399 0.2560 0.1529  1 Zn 1.91, 1 Mg 2.01
7 F 0.8225 0.8225 0.5326  1 Zn 1.91
8 F 0.9512 0.6399 0.1529  1 Zn 1.91, 1 Mg 2.01
9 F 0.0488 0.3601 0.8471  1 Zn 1.91, 1 Mg 2.01
10 F 0.2560 0.9512 0.1529  1 Zn 1.91, 1 Mg 2.01
11 F 0.7440 0.0488 0.8471  1 Zn 1.91, 1 Mg 2.01
12 F 0.3601 0.7440 0.8471  1 Zn 1.91, 1 Mg 2.01

Values from the calculation:
Space-group type = R-3
ΔE_f (raw) = -2.44 eV/atom

(4)
An optimized crystal structure of Cd2S2Cl, computed with PBE.

Unit cell a=4.9057 b=4.9057 c=5.8179 alpha=65.06 beta=65.06 gamma=90.00
With the nearest neighbours (Å) after each atom.
Atoms (fractional coordinates):
1 S 0.3588 0.3588 0.2823  1 S 2.64, 4 Cd 2.66
2 S 0.6412 0.6412 0.7177  1 S 2.64, 4 Cd 2.66
3 Cl 0.0000 0.0000 0.0000  10 S 3.35-3.71, 8 Cd 3.39
4 Cd 0.7500 0.2500 0.5000  4 S 2.66
5 Cd 0.2500 0.7500 0.5000  4 S 2.66

Values from the calculation:
Space-group type = I4/mmm
ΔE_f (raw) = -0.33 eV/atom
ΔE to the lowest computed polymorph = 98 meV/atom

(5)
An optimized crystal structure of HfFe2Pb2, computed with PBE.

Unit cell a=4.1181 b=4.1181 c=6.4621 alpha=71.42 beta=71.42 gamma=90.00
With the nearest neighbours (Å) after each atom.
Atoms (fractional coordinates):
1 Pb 0.3771 0.3771 0.2458  4 Fe 2.53
2 Pb 0.6229 0.6229 0.7542  4 Fe 2.53
3 Hf 0.0000 0.0000 0.0000  8 Pb 3.24, 8 Fe 3.54
4 Fe 0.7500 0.2500 0.5000  4 Pb 2.53
5 Fe 0.2500 0.7500 0.5000  4 Pb 2.53

Values from the calculation:
Space-group type = I4/mmm
ΔE_f = 78.4 kJ/mol of atoms

(6)
An optimized crystal structure of Dy16Ho7Tm6, computed with PBE.

Unit cell a=11.0148 b=11.0148 c=11.0148 alpha=60.00 beta=60.00 gamma=60.00
With the nearest neighbours (Å) after each atom.
Atoms (fractional coordinates):
1 Dy 0.8768 0.8768 0.3696  4 Ho 3.32-3.39, 3 Dy 3.57, 3 Tm 3.58
2 Dy 0.8768 0.8768 0.8768  4 Ho 3.32-3.39, 3 Dy 3.57, 3 Tm 3.58
3 Dy 0.8768 0.3696 0.8768  4 Ho 3.32-3.39, 3 Dy 3.57, 3 Tm 3.58
4 Dy 0.3696 0.8768 0.8768  4 Ho 3.32-3.39, 3 Dy 3.57, 3 Tm 3.58
5 Dy 0.1232 0.1232 0.1232  4 Ho 3.32-3.39, 3 Dy 3.57, 3 Tm 3.58
6 Dy 0.1232 0.1232 0.6304  4 Ho 3.32-3.39, 3 Dy 3.57, 3 Tm 3.58
7 Dy 0.1232 0.6304 0.1232  4 Ho 3.32-3.39, 3 Dy 3.57, 3 Tm 3.58
8 Dy 0.6304 0.1232 0.1232  4 Ho 3.32-3.39, 3 Dy 3.57, 3 Tm 3.58
9 Dy 0.6507 0.6507 0.0479  3 Ho 3.21, 3 Tm 3.53, 3 Dy 3.57
10 Dy 0.6507 0.6507 0.6507  3 Ho 3.21, 3 Tm 3.53, 3 Dy 3.57
11 Dy 0.6507 0.0479 0.6507  3 Ho 3.21, 3 Tm 3.53, 3 Dy 3.57
12 Dy 0.0479 0.6507 0.6507  3 Ho 3.21, 3 Tm 3.53, 3 Dy 3.57
13 Dy 0.3493 0.3493 0.3493  3 Ho 3.21, 3 Tm 3.53, 3 Dy 3.57
14 Dy 0.3493 0.3493 0.9521  3 Ho 3.21, 3 Tm 3.53, 3 Dy 3.57
15 Dy 0.3493 0.9521 0.3493  3 Ho 3.21, 3 Tm 3.53, 3 Dy 3.57
16 Dy 0.9521 0.3493 0.3493  3 Ho 3.21, 3 Tm 3.53, 3 Dy 3.57
17 Ho 0.0000 0.0000 0.0000  8 Dy 3.32
18 Ho 0.5000 0.0000 0.5000  8 Dy 3.21-3.39
19 Ho 0.0000 0.5000 0.0000  8 Dy 3.21-3.39
20 Ho 0.0000 0.5000 0.5000  8 Dy 3.21-3.39
21 Ho 0.5000 0.0000 0.0000  8 Dy 3.21-3.39
22 Ho 0.0000 0.0000 0.5000  8 Dy 3.21-3.39
23 Ho 0.5000 0.5000 0.0000  8 Dy 3.21-3.39
24 Tm 0.2729 0.7271 0.2729  8 Dy 3.53-3.58, 4 Ho 3.91
25 Tm 0.7271 0.2729 0.7271  8 Dy 3.53-3.58, 4 Ho 3.91
26 Tm 0.7271 0.2729 0.2729  8 Dy 3.53-3.58, 4 Ho 3.91
27 Tm 0.2729 0.7271 0.7271  8 Dy 3.53-3.58, 4 Ho 3.91
28 Tm 0.7271 0.7271 0.2729  8 Dy 3.53-3.58, 4 Ho 3.91
29 Tm 0.2729 0.2729 0.7271  8 Dy 3.53-3.58, 4 Ho 3.91

Values from the calculation:
Space-group type = Fm-3m
ΔE_f = 23.6 kJ/mol of atoms

(7)
An optimized crystal structure of Li2CuO3, computed with PBE.

Unit cell a=2.9464 b=2.9393 c=6.3060 alpha=103.48 beta=103.51 gamma=90.00
With the nearest neighbours (Å) after each atom.
Atoms (fractional coordinates):
1 Li 0.8275 0.7014 0.6550  6 O 2.05-2.09
2 Li 0.1725 0.0464 0.3450  6 O 2.05-2.09
3 Cu 0.5000 0.3737 0.0000  2 O 1.84
4 O 0.0000 0.8738 0.0000  2 Li 2.05, 4 Cu 2.08
5 O 0.3453 0.2191 0.6905  1 Cu 1.84, 1 Li 2.06
6 O 0.6547 0.5286 0.3095  1 Cu 1.84, 1 Li 2.06

Values from the calculation:
Space-group type = I4/mmm
ΔE_f (raw) = -1.07 eV/atom

(8)
An optimized crystal structure of Rb2BaHgI6, computed with PBE.

Unit cell a=8.8935 b=8.8907 c=8.9294 alpha=60.13 beta=60.12 gamma=60.00
With the nearest neighbours (Å) after each atom.
Atoms (fractional coordinates):
1 Rb 0.5372 0.5371 0.3885  6 I 3.73-3.81
2 Rb 0.0367 0.0369 0.8895  6 I 3.66-3.90
3 Ba 0.8170 0.8170 0.5491  6 I 3.41-3.49
4 Hg 0.3182 0.3182 0.0455  6 I 3.05-3.12
5 I 0.5662 0.1795 0.2627  1 Hg 3.05
6 I 0.1796 0.9916 0.2625  1 Hg 3.05
7 I 0.9916 0.5661 0.2627  1 Hg 3.05
8 I 0.4575 0.6534 0.7849  1 Hg 3.12, 1 Ba 3.41
9 I 0.6534 0.1042 0.7849  1 Hg 3.12, 1 Ba 3.41
10 I 0.1041 0.4577 0.7849  1 Hg 3.12, 1 Ba 3.41

Values from the calculation:
Space-group type = R3
ΔE_f (raw) = -1.16 eV/atom